No. 1
A plane-wave DFT calculation with PBE was carried out for an optimized crystal structure of HoEr6Tl4.

Values from the calculation:
SG: I-42m, No. 121
Energy: -3.8735 eV per atom
DOS(E_F): 10.6 states/eV/cell
Energy of formation from the pure elements: -0.1080 eV per atom

Cell lengths 9.4438, 9.4438, 9.4438 Å; angles 140.90, 140.90, 56.49 degrees
Closest atoms and distances in Å follow each position.
Atoms (fractional coordinates):
Ho (0.0000, 0.0000, 0.0000)  4 Tl 3.13, 4 Er 3.16
Er (0.0000, 0.5000, 0.5000)  2 Ho 3.16, 4 Tl 3.17
Er (0.0842, 0.5561, 0.0000)  5 Tl 3.08-3.30
Er (0.4439, 0.4439, 0.5282)  5 Tl 3.08-3.30
Er (0.5000, 0.0000, 0.5000)  2 Ho 3.16, 4 Tl 3.17
Er (0.5561, 0.0842, 0.0000)  5 Tl 3.08-3.30
Er (0.9158, 0.9158, 0.4718)  5 Tl 3.08-3.30
Tl (0.1086, 0.1086, 0.4872)  7 Er 3.08-3.30, 1 Ho 3.13
Tl (0.3786, 0.8914, 0.0000)  7 Er 3.08-3.30, 1 Ho 3.13
Tl (0.6214, 0.6214, 0.5128)  7 Er 3.08-3.30, 1 Ho 3.13
Tl (0.8914, 0.3786, 0.0000)  7 Er 3.08-3.30, 1 Ho 3.13

No. 2
A plane-wave DFT calculation with PBE was carried out for an optimized crystal structure of Ho6ErTl.

Values from the calculation:
SG: P4/mmm, No. 123
Relative energy among the computed polymorphs: 0.000 eV per atom
Energy: -4.3738 eV per atom
DOS(E_F): 8.9 states/eV/cell
Energy of formation from the pure elements: -0.0743 eV per atom

Cell lengths 4.8782, 4.8782, 9.9693 Å; angles 90.00, 90.00, 90.00 degrees
Closest atoms and distances in Å follow each position.
Atoms (fractional coordinates):
Ho (0.0000, 0.0000, 0.0000)  4 Tl 3.45, 8 Ho 3.46
Ho (0.0000, 0.0000, 0.5000)  4 Er 3.45, 8 Ho 3.51
Ho (0.0000, 0.5000, 0.2466)  8 Ho 3.45-3.51, 2 Tl 3.46, 2 Er 3.51
Ho (0.0000, 0.5000, 0.7534)  8 Ho 3.45-3.51, 2 Tl 3.46, 2 Er 3.51
Ho (0.5000, 0.0000, 0.2466)  8 Ho 3.45-3.51, 2 Tl 3.46, 2 Er 3.51
Ho (0.5000, 0.0000, 0.7534)  8 Ho 3.45-3.51, 2 Tl 3.46, 2 Er 3.51
Er (0.5000, 0.5000, 0.5000)  12 Ho 3.45-3.51
Tl (0.5000, 0.5000, 0.0000)  12 Ho 3.45-3.46

No. 3
A plane-wave DFT calculation with PBE was carried out for an optimized crystal structure of HoEr5Tl.

Values from the calculation:
SG: Imm2, No. 44
Energy: -3.5038 eV per atom
DOS(E_F): 16.7 states/eV/cell
Energy of formation from the pure elements: 0.7474 eV per atom

Cell lengths 7.9485, 11.4450, 6.1320 Å; angles 90.00, 90.00, 90.00 degrees
Closest atoms and distances in Å follow each position.
Atoms (fractional coordinates):
Ho (0.0000, 0.0000, 0.0000)  6 Er 3.38-3.71
Ho (0.5000, 0.5000, 0.5000)  6 Er 3.38-3.71
Er (0.0000, 0.2518, 0.3808)  1 Tl 2.99, 2 Er 3.31
Er (0.0000, 0.5000, 0.7027)  2 Tl 2.91-3.22, 2 Er 3.09
Er (0.0000, 0.7482, 0.3808)  1 Tl 2.99, 2 Er 3.31
Er (0.1848, 0.0000, 0.4967)  1 Tl 2.88, 2 Er 2.94-3.09
Er (0.3152, 0.5000, 0.9967)  1 Tl 2.88, 2 Er 2.94-3.09
Er (0.5000, 0.0000, 0.2027)  2 Tl 2.91-3.22, 2 Er 3.09
Er (0.5000, 0.2482, 0.8808)  1 Tl 2.99, 2 Er 3.31
Er (0.5000, 0.7518, 0.8808)  1 Tl 2.99, 2 Er 3.31
Er (0.6848, 0.5000, 0.9967)  1 Tl 2.88, 2 Er 2.94-3.09
Er (0.8152, 0.0000, 0.4967)  1 Tl 2.88, 2 Er 2.94-3.09
Tl (0.0000, 0.5000, 0.2281)  6 Er 2.88-3.22
Tl (0.5000, 0.0000, 0.7281)  6 Er 2.88-3.22

No. 4
A plane-wave DFT calculation with PBE was carried out for an optimized crystal structure of Ho5Er2Tl.

Values from the calculation:
SG: Fmm2, No. 42
Relative energy among the computed polymorphs: 0.000 eV per atom
Energy: -4.3675 eV per atom
DOS(E_F): 9.7 states/eV/cell
Energy of formation from the pure elements: -0.0699 eV per atom

Cell lengths 8.2252, 7.0060, 6.5874 Å; angles 74.40, 55.12, 50.48 degrees
Closest atoms and distances in Å follow each position.
Atoms (fractional coordinates):
Ho (0.0000, 0.0000, 0.0000)  8 Ho 3.39-3.62, 2 Er 3.52, 2 Tl 3.53
Ho (0.0867, 0.0867, 0.4133)  2 Tl 3.42, 6 Ho 3.46-3.52, 4 Er 3.47-3.54
Ho (0.5202, 0.9931, 0.4798)  6 Ho 3.33-3.71, 4 Er 3.37-3.53, 2 Tl 3.41-3.59
Ho (0.5867, 0.5867, 0.9133)  2 Tl 3.42, 6 Ho 3.46-3.52, 4 Er 3.47-3.54
Ho (0.9931, 0.5202, 0.0069)  6 Ho 3.33-3.71, 4 Er 3.37-3.53, 2 Tl 3.41-3.59
Er (0.1043, 0.5755, 0.4245)  1 Tl 3.34, 9 Ho 3.37-3.54, 2 Er 3.54
Er (0.5755, 0.1043, 0.8957)  1 Tl 3.34, 9 Ho 3.37-3.54, 2 Er 3.54
Tl (0.5108, 0.5108, 0.4892)  2 Er 3.34, 10 Ho 3.41-3.59

No. 5
A plane-wave DFT calculation with PBE was carried out for an optimized crystal structure of HoEr9Tl2.

Values from the calculation:
SG: P4/mmm, No. 123
Energy: -4.3016 eV per atom
DOS(E_F): 14.0 states/eV/cell
Energy of formation from the pure elements: -0.1036 eV per atom

Cell lengths 4.8334, 4.8334, 14.8277 Å; angles 90.00, 90.00, 90.00 degrees
Closest atoms and distances in Å follow each position.
Atoms (fractional coordinates):
Ho (0.0000, 0.0000, 0.0000)  12 Er 3.42-3.50
Er (0.0000, 0.5000, 0.1709)  8 Er 3.42-3.50, 2 Tl 3.47, 2 Ho 3.50
Er (0.0000, 0.5000, 0.5000)  4 Tl 3.39, 8 Er 3.42
Er (0.0000, 0.5000, 0.8291)  8 Er 3.42-3.50, 2 Tl 3.47, 2 Ho 3.50
Er (0.5000, 0.0000, 0.1709)  8 Er 3.42-3.50, 2 Tl 3.47, 2 Ho 3.50
Er (0.5000, 0.0000, 0.5000)  4 Tl 3.39, 8 Er 3.42
Er (0.5000, 0.0000, 0.8291)  8 Er 3.42-3.50, 2 Tl 3.47, 2 Ho 3.50
Er (0.5000, 0.5000, 0.0000)  4 Ho 3.42, 8 Er 3.50
Er (0.5000, 0.5000, 0.3371)  8 Er 3.42-3.45, 4 Tl 3.42
Er (0.5000, 0.5000, 0.6629)  8 Er 3.42-3.45, 4 Tl 3.42
Tl (0.0000, 0.0000, 0.3392)  12 Er 3.39-3.47
Tl (0.0000, 0.0000, 0.6608)  12 Er 3.39-3.47

No. 6
A plane-wave DFT calculation with PBE was carried out for an optimized crystal structure of Ho2Er2Tl.

Values from the calculation:
SG: C2/m, No. 12
Relative energy among the computed polymorphs: 0.000 eV per atom
Energy: -4.1752 eV per atom
DOS(E_F): 10.9 states/eV/cell
Energy of formation from the pure elements: -0.0457 eV per atom

Cell lengths 6.3079, 6.3079, 8.4782 Å; angles 107.41, 107.41, 97.66 degrees
Closest atoms and distances in Å follow each position.
Atoms (fractional coordinates):
Ho (0.1617, 0.1617, 0.4291)  3 Ho 3.39-3.52, 6 Er 3.47-3.59, 2 Tl 3.62
Ho (0.2769, 0.2769, 0.8833)  4 Tl 3.29-3.57, 3 Ho 3.31-3.52, 4 Er 3.44-3.50
Ho (0.7231, 0.7231, 0.1167)  4 Tl 3.29-3.57, 3 Ho 3.31-3.52, 4 Er 3.44-3.50
Ho (0.8383, 0.8383, 0.5709)  3 Ho 3.39-3.52, 6 Er 3.47-3.59, 2 Tl 3.62
Er (0.2493, 0.6171, 0.2831)  2 Tl 3.05-3.30, 1 Er 3.32
Er (0.3829, 0.7507, 0.7169)  2 Tl 3.05-3.30, 1 Er 3.32
Er (0.6171, 0.2493, 0.2831)  2 Tl 3.05-3.30, 1 Er 3.32
Er (0.7507, 0.3829, 0.7169)  2 Tl 3.05-3.30, 1 Er 3.32
Tl (0.1670, 0.8330, 0.0000)  4 Er 3.05-3.30, 1 Tl 3.17, 2 Ho 3.29
Tl (0.8330, 0.1670, 0.0000)  4 Er 3.05-3.30, 1 Tl 3.17, 2 Ho 3.29

No. 7
A plane-wave DFT calculation with PBE was carried out for an optimized crystal structure of Ho7ErTl2.

Values from the calculation:
SG: Cmmm, No. 65
Energy: -3.7646 eV per atom
DOS(E_F): 18.1 states/eV/cell
Energy of formation from the pure elements: 0.3694 eV per atom

Cell lengths 9.0265, 9.0265, 5.2555 Å; angles 90.00, 90.00, 119.20 degrees
Closest atoms and distances in Å follow each position.
Atoms (fractional coordinates):
Ho (0.0000, 0.0000, 0.0000)  2 Tl 3.01
Ho (0.1990, 0.4377, 0.0000)  2 Tl 3.13-3.36, 2 Ho 3.32-3.45
Ho (0.2762, 0.7238, 0.5000)  2 Tl 2.93
Ho (0.4377, 0.1990, 0.0000)  2 Tl 3.13-3.36, 2 Ho 3.32-3.45
Ho (0.5623, 0.8010, 0.0000)  2 Tl 3.13-3.36, 2 Ho 3.32-3.45
Ho (0.7238, 0.2762, 0.5000)  2 Tl 2.93
Ho (0.8010, 0.5623, 0.0000)  2 Tl 3.13-3.36, 2 Ho 3.32-3.45
Er (0.5000, 0.5000, 0.5000)  10 Ho 3.48-3.62
Tl (0.1932, 0.8068, 0.0000)  5 Ho 2.93-3.13
Tl (0.8068, 0.1932, 0.0000)  5 Ho 2.93-3.13

No. 8
A plane-wave DFT calculation with PBE was carried out for an optimized crystal structure of HoErTm2Tl4.

Values from the calculation:
SG: R-3m, No. 166
Energy: -3.7489 eV per atom
DOS(E_F): 6.1 states/eV/cell
Energy of formation from the pure elements: -0.3053 eV per atom

Cell lengths 9.2456, 9.2456, 9.2456 Å; angles 33.46, 33.46, 33.46 degrees
Closest atoms and distances in Å follow each position.
Atoms (fractional coordinates):
Ho (0.0000, 0.0000, 0.0000)  8 Tl 3.26-3.27
Er (0.5000, 0.5000, 0.5000)  8 Tl 3.26
Tm (0.2499, 0.2499, 0.2499)  8 Tl 3.26-3.28
Tm (0.7501, 0.7501, 0.7501)  8 Tl 3.26-3.28
Tl (0.1252, 0.1252, 0.1252)  3 Er 3.26, 4 Tm 3.26, 1 Ho 3.27
Tl (0.3752, 0.3752, 0.3752)  4 Tm 3.26-3.28, 3 Ho 3.26, 1 Er 3.26
Tl (0.6248, 0.6248, 0.6248)  4 Tm 3.26-3.28, 3 Ho 3.26, 1 Er 3.26
Tl (0.8748, 0.8748, 0.8748)  3 Er 3.26, 4 Tm 3.26, 1 Ho 3.27

No. 9
A plane-wave DFT calculation with PBE was carried out for an optimized crystal structure of Ho2Er6Tm3Tl.

Values from the calculation:
SG: C2/m, No. 12
Energy: -4.3704 eV per atom
DOS(E_F): 16.5 states/eV/cell
Energy of formation from the pure elements: -0.0109 eV per atom

Cell lengths 6.0253, 6.0253, 11.5358 Å; angles 95.03, 95.03, 120.04 degrees
Closest atoms and distances in Å follow each position.
Atoms (fractional coordinates):
Ho (0.1661, 0.8339, 0.0000)  3 Ho 3.47-3.48, 3 Tl 3.47-3.49, 6 Er 3.48
Ho (0.8339, 0.1661, 0.0000)  3 Ho 3.47-3.48, 3 Tl 3.47-3.49, 6 Er 3.48
Er (0.0869, 0.4176, 0.7509)  6 Er 3.45-3.49, 1 Tl 3.46, 2 Ho 3.48, 3 Tm 3.48-3.50
Er (0.2520, 0.2520, 0.2504)  6 Er 3.45-3.49, 3 Tm 3.47-3.48, 1 Tl 3.48, 2 Ho 3.48
Er (0.4176, 0.0869, 0.7509)  6 Er 3.45-3.49, 1 Tl 3.46, 2 Ho 3.48, 3 Tm 3.48-3.50
Er (0.5824, 0.9131, 0.2491)  6 Er 3.45-3.49, 1 Tl 3.46, 2 Ho 3.48, 3 Tm 3.48-3.50
Er (0.7480, 0.7480, 0.7496)  6 Er 3.45-3.49, 3 Tm 3.47-3.48, 1 Tl 3.48, 2 Ho 3.48
Er (0.9131, 0.5824, 0.2491)  6 Er 3.45-3.49, 1 Tl 3.46, 2 Ho 3.48, 3 Tm 3.48-3.50
Tm (0.0000, 0.0000, 0.5000)  6 Tm 3.48, 6 Er 3.48
Tm (0.3334, 0.6666, 0.5000)  6 Er 3.47-3.50, 6 Tm 3.48
Tm (0.6666, 0.3334, 0.5000)  6 Er 3.47-3.50, 6 Tm 3.48
Tl (0.5000, 0.5000, 0.0000)  6 Er 3.46-3.48, 6 Ho 3.47-3.49

No. 10
A plane-wave DFT calculation with PBE was carried out for an optimized crystal structure of HoErTm2Tl2.

Values from the calculation:
SG: Pmc2_1, No. 26
Energy: -4.0607 eV per atom
DOS(E_F): 11.6 states/eV/cell
Energy of formation from the pure elements: -0.2580 eV per atom

Cell lengths 5.0357, 9.8713, 6.7658 Å; angles 90.00, 90.00, 90.00 degrees
Closest atoms and distances in Å follow each position.
Atoms (fractional coordinates):
Ho (0.0000, 0.0416, 0.0000)  5 Tl 3.18-3.48, 2 Ho 3.48, 2 Er 3.48
Ho (0.0000, 0.9584, 0.5000)  5 Tl 3.18-3.48, 2 Ho 3.48, 2 Er 3.48
Er (0.5000, 0.1893, 0.7174)  4 Tl 3.18-3.20, 2 Ho 3.48
Er (0.5000, 0.8107, 0.2174)  4 Tl 3.18-3.20, 2 Ho 3.48
Tm (0.0000, 0.3129, 0.3764)  4 Tl 3.16-3.18, 2 Tm 3.48
Tm (0.0000, 0.6871, 0.8764)  4 Tl 3.16-3.18, 2 Tm 3.48
Tm (0.5000, 0.4583, 0.0928)  5 Tl 3.18-3.47, 4 Tm 3.48
Tm (0.5000, 0.5417, 0.5928)  5 Tl 3.18-3.47, 4 Tm 3.48
Tl (0.0000, 0.3680, 0.8388)  6 Tm 3.16-3.47, 2 Er 3.18, 1 Ho 3.40
Tl (0.0000, 0.6320, 0.3388)  6 Tm 3.16-3.47, 2 Er 3.18, 1 Ho 3.40
Tl (0.5000, 0.1341, 0.2540)  2 Er 3.18-3.20, 4 Ho 3.18-3.48, 3 Tm 3.18-3.38
Tl (0.5000, 0.8659, 0.7540)  2 Er 3.18-3.20, 4 Ho 3.18-3.48, 3 Tm 3.18-3.38

No. 11
A plane-wave DFT calculation with PBE was carried out for an optimized crystal structure of Ho6Er2Tm3Tl.

Values from the calculation:
SG: C2/m, No. 12
Energy: -4.3742 eV per atom
DOS(E_F): 15.9 states/eV/cell
Energy of formation from the pure elements: -0.0098 eV per atom

Cell lengths 6.0435, 6.0435, 11.5392 Å; angles 95.06, 95.06, 120.08 degrees
Closest atoms and distances in Å follow each position.
Atoms (fractional coordinates):
Ho (0.0822, 0.4129, 0.7486)  1 Tl 3.46, 6 Ho 3.46-3.50, 2 Er 3.48, 3 Tm 3.49-3.50
Ho (0.2483, 0.2483, 0.2498)  6 Ho 3.46-3.50, 3 Tm 3.48-3.49, 2 Er 3.48, 1 Tl 3.48
Ho (0.4129, 0.0822, 0.7486)  1 Tl 3.46, 6 Ho 3.46-3.50, 2 Er 3.48, 3 Tm 3.49-3.50
Ho (0.5871, 0.9178, 0.2514)  1 Tl 3.46, 6 Ho 3.46-3.50, 2 Er 3.48, 3 Tm 3.49-3.50
Ho (0.7517, 0.7517, 0.7502)  6 Ho 3.46-3.50, 3 Tm 3.48-3.49, 2 Er 3.48, 1 Tl 3.48
Ho (0.9178, 0.5871, 0.2514)  1 Tl 3.46, 6 Ho 3.46-3.50, 2 Er 3.48, 3 Tm 3.49-3.50
Er (0.3343, 0.6657, 0.5000)  3 Er 3.47-3.50, 6 Ho 3.48, 3 Tl 3.48-3.50
Er (0.6657, 0.3343, 0.5000)  3 Er 3.47-3.50, 6 Ho 3.48, 3 Tl 3.48-3.50
Tm (0.1668, 0.8332, 0.0000)  6 Ho 3.48-3.50, 6 Tm 3.49
Tm (0.5000, 0.5000, 0.0000)  6 Tm 3.49, 6 Ho 3.49
Tm (0.8332, 0.1668, 0.0000)  6 Ho 3.48-3.50, 6 Tm 3.49
Tl (0.0000, 0.0000, 0.5000)  6 Ho 3.46-3.48, 6 Er 3.48-3.50

No. 12
A plane-wave DFT calculation with PBE was carried out for an optimized crystal structure of HoErTmTl.

Values from the calculation:
SG: Pmmm, No. 47
Relative energy among the computed polymorphs: 0.000 eV per atom
Energy: -4.1608 eV per atom
DOS(E_F): 5.4 states/eV/cell
Energy of formation from the pure elements: -0.1662 eV per atom

Cell lengths 4.8058, 4.8104, 4.8129 Å; angles 90.00, 90.00, 90.00 degrees
Closest atoms and distances in Å follow each position.
Atoms (fractional coordinates):
Ho (0.0000, 0.0000, 0.0000)  4 Er 3.40, 4 Tm 3.40, 4 Tl 3.40
Er (0.5000, 0.5000, 0.0000)  4 Ho 3.40, 4 Tl 3.40, 4 Tm 3.40
Tm (0.5000, 0.0000, 0.5000)  4 Tl 3.40, 4 Ho 3.40, 4 Er 3.40
Tl (0.0000, 0.5000, 0.5000)  4 Tm 3.40, 4 Er 3.40, 4 Ho 3.40